[1]
Computed, not measured: a relaxed structure of NaMgCo2Pb at the GGA-PBEsol level of DFT.

Values from the calculation:
DOS at the Fermi energy = 6.4 states/eV/cell
Calculated volume = 24.59 Å³ per atom
ΔE_f = 1.15 eV/atom
Total DFT energy (no corrections) = -3.37 eV/atom
M_tot = 2.7 μB per formula unit

Cell: 4.8275 4.8275 5.2764 Å, 90.00 90.00 90.00°
Space group P4/mmm (No. 123)
Asymmetric unit:
Na: 0.0000 0.0000 0.0000
Mg: 0.5000 0.5000 0.0000
Co: 0.0000 0.5000 0.5000
Pb: 0.0000 0.0000 0.5000

=====

[2]
Computed, not measured: a relaxed structure of PbF3 at the GGA-PBEsol level of DFT.

Values from the calculation:
DOS at the Fermi energy = 0.0 states/eV/cell
Formation energy (no corrections) = -2.100 eV per atom
Calculated volume = 15.74 Å³ per atom
Total DFT energy (no corrections) = -4.55 eV/atom
M_tot = 0.0 μB per formula unit

Cell: 5.3229 5.3229 8.8894 Å, 90.00 90.00 90.00°
Space group P4_2/mcm (No. 132)
Asymmetric unit:
Pb: 0.0000 0.0000 0.0000
Pb: 0.5000 0.5000 0.2500
F: 0.2044 0.2044 0.1579
F: 0.2821 0.2821 0.5000

=====

[3]
Computed, not measured: a relaxed structure of Li2AgBi at the GGA-PBEsol level of DFT.

Values from the calculation:
Energy relative to the lowest polymorph listed for this composition = 6.02 kcal/mol of atoms
DOS at the Fermi energy = 4.5 states/eV/cell
Calculated volume = 20.62 Å³ per atom
ΔE_f = -0.11 eV/atom
Total DFT energy (no corrections) = -2.99 eV/atom
M_tot = 0.0 μB per formula unit

Cell: 7.5853 7.5853 5.7342 Å, 90.00 90.00 90.00°
Space group I-42d (No. 122)
Asymmetric unit:
Li: 0.2262 0.7500 0.1250
Ag: 0.0000 0.0000 0.0000
Bi: 0.0000 0.0000 0.5000

=====

[4]
Computed, not measured: a relaxed structure of HoBO3 at the GGA-PBEsol level of DFT.

Values from the calculation:
DOS at the Fermi energy = 0.0 states/eV/cell
Formation energy (no corrections) = -3.088 eV per atom
Calculated volume = 11.48 Å³ per atom
Total DFT energy (no corrections) = -8.63 eV/atom
M_tot = 0.0 μB per formula unit

Cell: 8.4497 6.3807 4.2577 Å, 90.00 90.00 90.00°
Space group Ama2 (No. 40)
Asymmetric unit:
Ho: 0.0000 0.0000 0.0000
B: 0.2500 0.1365 0.5641
O: 0.1022 0.1704 0.4301
O: 0.2500 0.0687 0.8694

=====

[5]
Computed, not measured: a relaxed structure of CrCoSe2 at the GGA-PBEsol level of DFT.

Values from the calculation:
Energy relative to the lowest polymorph listed for this composition = 0.00 kcal/mol of atoms
DOS at the Fermi energy = 9.9 states/eV/cell
Formation energy (no corrections) = 0.154 eV per atom
Calculated volume = 18.91 Å³ per atom
Total DFT energy (no corrections) = -6.27 eV/atom
M_tot = 4.2 μB per formula unit

Cell: 3.4414 3.4414 22.1191 Å, 90.00 90.00 120.00°
Space group R-3m (No. 166, hexagonal axes)
Asymmetric unit:
Cr: 0.0000 0.0000 0.0000
Co: 0.0000 0.0000 0.5000
Se: 0.0000 0.0000 0.1105

=====

[6]
Computed, not measured: a relaxed structure of In2CuSe at the GGA-PBEsol level of DFT.

Values from the calculation:
DOS at the Fermi energy = 1.8 states/eV/cell
Formation energy (no corrections) = 0.029 eV per atom
Calculated volume = 21.50 Å³ per atom
Total DFT energy (no corrections) = -3.51 eV/atom
M_tot = 0.0 μB per formula unit

Cell: 3.3706 3.3706 7.5690 Å, 90.00 90.00 90.00°
Space group P4mm (No. 99)
Asymmetric unit:
In: 0.0000 0.0000 0.0000
In: 0.5000 0.5000 0.3195
Cu: 0.5000 0.5000 0.7208
Se: 0.0000 0.0000 0.6229

=====

[7]
Computed, not measured: a relaxed structure of MnO2 at the GGA-PBEsol level of DFT.

Values from the calculation:
Formation energy (no corrections) = -1.625 eV per atom
Calculated volume = 9.57 Å³ per atom
Total DFT energy (no corrections) = -8.38 eV/atom
M_tot = 3.0 μB per formula unit

Cell: 13.3446 2.8399 4.5585 Å, 90.00 94.20 90.00°
Space group C2/m (No. 12)
Asymmetric unit:
Mn: 0.0000 0.0000 0.0000
Mn: 0.1586 0.5000 0.5352
O: 0.0719 0.5000 0.8461
O: 0.0903 0.0000 0.3423
O: 0.2345 0.0000 0.7163

=====

[8]
Computed, not measured: a relaxed structure of KScAl2 at the GGA-PBEsol level of DFT.

Values from the calculation:
Energy relative to the lowest polymorph listed for this composition = 4.55 kcal/mol of atoms
DOS at the Fermi energy = 8.9 states/eV/cell
Calculated volume = 23.49 Å³ per atom
ΔE_f = 0.19 eV/atom
Total DFT energy (no corrections) = -3.79 eV/atom
M_tot = 0.0 μB per formula unit

Cell: 3.2093 3.2093 31.6072 Å, 90.00 90.00 120.00°
Space group R-3m (No. 166, hexagonal axes)
Asymmetric unit:
K: 0.0000 0.0000 0.0000
Sc: 0.0000 0.0000 0.5000
Al: 0.0000 0.0000 0.2393

=====

[9]
Computed, not measured: a relaxed structure of La2AgOs at the GGA-PBEsol level of DFT.

Values from the calculation:
DOS at the Fermi energy = 7.1 states/eV/cell
Calculated volume = 21.93 Å³ per atom
ΔE_f = 0.12 eV/atom
Total DFT energy (no corrections) = -6.43 eV/atom
M_tot = 0.0 μB per formula unit

Cell: 4.4048 4.4048 9.0421 Å, 90.00 90.00 90.00°
Space group I-4m2 (No. 119)
Asymmetric unit:
La: 0.0000 0.0000 0.0000
La: 0.0000 0.5000 0.2500
Ag: 0.0000 0.5000 0.7500
Os: 0.0000 0.0000 0.5000

=====

[10]
Computed, not measured: a relaxed structure of MgSc3Tc at the GGA-PBEsol level of DFT.

Values from the calculation:
DOS at the Fermi energy = 4.3 states/eV/cell
Calculated volume = 24.78 Å³ per atom
ΔE_f = 0.16 eV/atom
Total DFT energy (no corrections) = -6.40 eV/atom
M_tot = 0.0 μB per formula unit

Cell: 4.9853 4.9853 4.9853 Å, 90.00 90.00 90.00°
Space group Pm-3m (No. 221)
Asymmetric unit:
Mg: 0.0000 0.0000 0.0000
Sc: 0.0000 0.5000 0.5000
Tc: 0.5000 0.5000 0.5000